[1]
PBE Pm3PaS6, relaxed; space group = No. 11; E_tot = -67.67 eV per formula unit; relative energy among the computed polymorphs = 0 meV/atom
1.0
11.218 0.000 0.000
0.000 3.992 0.000
-3.419 0.000 10.960
Pm Pa S
6 2 12
direct
0.080 0.250 0.167 Pm
0.180 0.750 0.505 Pm
0.339 0.250 0.923 Pm
0.661 0.750 0.077 Pm
0.820 0.250 0.495 Pm
0.920 0.750 0.833 Pm
0.455 0.250 0.308 Pa
0.545 0.750 0.692 Pa
0.021 0.250 0.384 S
0.096 0.250 0.927 S
0.257 0.750 0.283 S
0.317 0.750 0.750 S
0.393 0.250 0.540 S
0.419 0.750 0.106 S
0.581 0.250 0.894 S
0.607 0.750 0.460 S
0.683 0.250 0.250 S
0.743 0.250 0.717 S
0.904 0.750 0.073 S
0.979 0.750 0.616 S

=====

[2]
PBE PmPa2S6, relaxed; space group = No. 12; E_tot = -63.04 eV per formula unit; relative energy among the computed polymorphs = 31 meV/atom
1.0
6.794 -2.583 0.000
6.794 2.583 0.000
-5.234 0.000 7.254
Pm Pa S
1 2 6
direct
0.000 0.000 0.000 Pm
0.184 0.184 0.610 Pa
0.816 0.816 0.390 Pa
0.034 0.034 0.713 S
0.258 0.258 0.377 S
0.368 0.368 0.942 S
0.632 0.632 0.058 S
0.742 0.742 0.623 S
0.966 0.966 0.287 S

=====

[3]
PBE PmPaS2, relaxed; space group = No. 160; E_tot = -29.15 eV per formula unit; relative energy among the computed polymorphs = 120 meV/atom
1.0
1.887 1.089 7.224
-1.887 1.089 7.224
0.000 -2.179 7.224
Pm Pa S
1 1 2
direct
0.000 0.000 0.000 Pm
0.174 0.174 0.174 Pa
0.585 0.585 0.585 S
0.756 0.756 0.756 S

=====

[4]
PBE PmSc2PaS4, relaxed; space group = No. 10; E_tot = -57.89 eV per formula unit
1.0
6.583 0.000 0.000
0.000 3.775 0.000
-2.159 0.000 6.374
Pm Sc Pa S
1 2 1 4
direct
0.000 0.000 0.000 Pm
0.000 0.500 0.500 Sc
0.500 0.000 0.500 Sc
0.500 0.500 0.000 Pa
0.247 0.000 0.728 S
0.263 0.500 0.274 S
0.737 0.500 0.726 S
0.753 0.000 0.272 S

=====

[5]
PBE TbPm2PaS4, relaxed; space group = No. 10; E_tot = -55.35 eV per formula unit
1.0
6.882 0.000 0.000
0.000 3.948 0.000
-2.254 0.000 6.505
Tb Pm Pa S
1 2 1 4
direct
0.000 0.000 0.000 Tb
0.500 0.000 0.500 Pm
0.500 0.500 0.000 Pm
0.000 0.500 0.500 Pa
0.240 0.500 0.248 S
0.241 0.000 0.747 S
0.759 0.000 0.253 S
0.760 0.500 0.752 S

=====

[6]
PBE PmPaTe2S, relaxed; space group = No. 129; E_tot = -30.58 eV per formula unit
1.0
4.406 0.000 0.000
0.000 4.406 0.000
0.000 0.000 15.358
Pm Pa Te S
2 2 4 2
direct
0.250 0.250 0.105 Pm
0.750 0.750 0.895 Pm
0.250 0.250 0.595 Pa
0.750 0.750 0.405 Pa
0.250 0.250 0.388 Te
0.250 0.250 0.790 Te
0.750 0.750 0.210 Te
0.750 0.750 0.612 Te
0.250 0.750 0.000 S
0.750 0.250 0.000 S

=====

[7]
PBE PmPa3Tl4S12, relaxed; space group = No. 229; E_tot = -114.10 eV per formula unit
1.0
-5.306 5.306 5.306
5.306 -5.306 5.306
5.306 5.306 -5.306
Pm Pa Tl S
1 3 4 12
direct
0.000 0.000 0.000 Pm
0.000 0.500 0.500 Pa
0.500 0.000 0.500 Pa
0.500 0.500 0.000 Pa
0.000 0.000 0.500 Tl
0.000 0.500 0.000 Tl
0.500 0.000 0.000 Tl
0.500 0.500 0.500 Tl
0.000 0.259 0.259 S
0.000 0.741 0.741 S
0.250 0.500 0.750 S
0.250 0.750 0.500 S
0.259 0.000 0.259 S
0.259 0.259 0.000 S
0.500 0.250 0.750 S
0.500 0.750 0.250 S
0.741 0.000 0.741 S
0.741 0.741 0.000 S
0.750 0.250 0.500 S
0.750 0.500 0.250 S

=====

[8]
PBE PmTm2PaS4, relaxed; space group = No. 10; E_tot = -54.56 eV per formula unit
1.0
6.714 0.000 0.000
0.000 3.848 0.000
-2.201 0.000 6.493
Pm Tm Pa S
1 2 1 4
direct
0.000 0.000 0.000 Pm
0.000 0.500 0.500 Tm
0.500 0.000 0.500 Tm
0.500 0.500 0.000 Pa
0.250 0.000 0.738 S
0.259 0.500 0.264 S
0.741 0.500 0.736 S
0.750 0.000 0.262 S

=====

[9]
PBE Pm2TmPaS4, relaxed; space group = No. 10; E_tot = -55.04 eV per formula unit
1.0
6.847 0.000 0.000
0.000 3.917 0.000
-2.232 0.000 6.492
Pm Tm Pa S
2 1 1 4
direct
0.000 0.000 0.000 Pm
0.000 0.500 0.500 Pm
0.500 0.000 0.500 Tm
0.500 0.500 0.000 Pa
0.261 0.000 0.750 S
0.265 0.500 0.258 S
0.735 0.500 0.742 S
0.739 0.000 0.250 S

=====

[10]
PBE Pm2YPaS4, relaxed; space group = No. 10; E_tot = -57.16 eV per formula unit
1.0
6.874 0.000 0.000
0.000 3.945 0.000
-2.253 0.000 6.507
Pm Y Pa S
2 1 1 4
direct
0.000 0.000 0.000 Pm
0.000 0.500 0.500 Pm
0.500 0.000 0.500 Y
0.500 0.500 0.000 Pa
0.259 0.000 0.752 S
0.261 0.500 0.253 S
0.739 0.500 0.747 S
0.741 0.000 0.248 S

=====

[11]
PBE PmPa2Sb3, relaxed; space group = No. 12; E_tot = -40.15 eV per formula unit
1.0
3.810 -6.602 0.000
3.810 6.602 0.000
-2.539 0.000 7.229
Pm Pa Sb
2 4 6
direct
0.166 0.834 0.000 Pm
0.834 0.166 0.000 Pm
0.000 0.000 0.500 Pa
0.330 0.670 0.500 Pa
0.500 0.500 0.000 Pa
0.670 0.330 0.500 Pa
0.086 0.416 0.747 Sb
0.256 0.256 0.256 Sb
0.416 0.086 0.747 Sb
0.584 0.914 0.253 Sb
0.744 0.744 0.744 Sb
0.914 0.584 0.253 Sb

=====

[12]
PBE PmPaSb, relaxed; space group = No. 107; E_tot = -19.08 eV per formula unit; relative energy among the computed polymorphs = 0 meV/atom
1.0
-2.002 2.002 5.326
2.002 -2.002 5.326
2.002 2.002 -5.326
Pm Pa Sb
1 1 1
direct
0.000 0.000 0.000 Pm
0.701 0.701 0.000 Pa
0.349 0.349 0.000 Sb

=====

[13]
PBE Pm5PaSb6, relaxed; space group = No. 12; E_tot = -70.88 eV per formula unit
1.0
3.868 -6.699 0.000
3.868 6.699 0.000
-2.574 0.000 7.291
Pm Pa Sb
5 1 6
direct
0.000 0.000 0.000 Pm
0.166 0.834 0.500 Pm
0.331 0.669 0.000 Pm
0.669 0.331 0.000 Pm
0.834 0.166 0.500 Pm
0.500 0.500 0.500 Pa
0.092 0.418 0.254 Sb
0.257 0.257 0.747 Sb
0.418 0.092 0.254 Sb
0.582 0.908 0.746 Sb
0.743 0.743 0.253 Sb
0.908 0.582 0.746 Sb

=====

[14]
PBE PmPaSb3, relaxed; space group = No. 57; E_tot = -29.61 eV per formula unit
1.0
14.343 0.000 0.000
0.000 6.133 0.000
0.000 0.000 6.394
Pm Pa Sb
4 4 12
direct
0.171 0.021 0.250 Pm
0.171 0.479 0.750 Pm
0.829 0.521 0.250 Pm
0.829 0.979 0.750 Pm
0.410 0.750 0.000 Pa
0.410 0.750 0.500 Pa
0.590 0.250 0.000 Pa
0.590 0.250 0.500 Pa
0.004 0.750 0.000 Sb
0.004 0.750 0.500 Sb
0.239 0.525 0.250 Sb
0.239 0.975 0.750 Sb
0.402 0.199 0.250 Sb
0.402 0.301 0.750 Sb
0.598 0.699 0.250 Sb
0.598 0.801 0.750 Sb
0.761 0.025 0.250 Sb
0.761 0.475 0.750 Sb
0.996 0.250 0.000 Sb
0.996 0.250 0.500 Sb

=====

[15]
PBE PmPaSb, relaxed; space group = No. 139; E_tot = -18.94 eV per formula unit; relative energy among the computed polymorphs = 49 meV/atom
1.0
-2.068 2.068 10.973
2.068 -2.068 10.973
2.068 2.068 -10.973
Pm Pa Sb
2 2 2
direct
0.119 0.119 0.000 Pm
0.881 0.881 0.000 Pm
0.277 0.277 0.000 Pa
0.723 0.723 0.000 Pa
0.428 0.428 0.000 Sb
0.572 0.572 0.000 Sb

=====

[16]
PBE PmPaSb, relaxed; space group = No. 156; E_tot = -18.42 eV per formula unit; relative energy among the computed polymorphs = 220 meV/atom
1.0
5.359 0.000 0.000
-2.679 4.641 0.000
0.000 0.000 3.431
Pm Pa Sb
1 1 1
direct
0.000 0.000 0.000 Pm
0.667 0.333 0.463 Pa
0.333 0.667 0.731 Sb

=====

[17]
PBE PmPa2Sb, relaxed; space group = No. 123; E_tot = -28.87 eV per formula unit; relative energy among the computed polymorphs = 0 meV/atom
1.0
4.516 0.000 0.000
0.000 4.516 0.000
0.000 0.000 5.104
Pm Pa Sb
1 2 1
direct
0.000 0.000 0.000 Pm
0.000 0.500 0.500 Pa
0.500 0.000 0.500 Pa
0.500 0.500 0.000 Sb

=====

[18]
PBE Pm2PaSb3, relaxed; space group = No. 70; E_tot = -37.01 eV per formula unit
1.0
0.000 6.289 13.332
4.450 0.000 13.332
4.450 6.289 0.000
Pm Pa Sb
8 4 12
direct
0.043 0.043 0.207 Pm
0.124 0.124 0.626 Pm
0.207 0.207 0.043 Pm
0.374 0.374 0.876 Pm
0.626 0.626 0.124 Pm
0.793 0.793 0.957 Pm
0.876 0.876 0.374 Pm
0.957 0.957 0.793 Pm
0.292 0.292 0.458 Pa
0.458 0.458 0.292 Pa
0.542 0.542 0.708 Pa
0.708 0.708 0.542 Pa
0.040 0.540 0.217 Sb
0.132 0.618 0.618 Sb
0.217 0.703 0.040 Sb
0.297 0.783 0.460 Sb
0.382 0.868 0.868 Sb
0.460 0.960 0.297 Sb
0.540 0.040 0.703 Sb
0.618 0.132 0.132 Sb
0.703 0.217 0.540 Sb
0.783 0.297 0.960 Sb
0.868 0.382 0.382 Sb
0.960 0.460 0.783 Sb

=====

[19]
PBE PmPa2Sb, relaxed; space group = No. 123; E_tot = -28.53 eV per formula unit; relative energy among the computed polymorphs = 85 meV/atom
1.0
4.143 0.000 0.000
0.000 4.143 0.000
0.000 0.000 6.700
Pm Pa Sb
1 2 1
direct
0.000 0.000 0.000 Pm
0.500 0.500 0.305 Pa
0.500 0.500 0.695 Pa
0.000 0.000 0.500 Sb

=====

[20]
PBE PmPa2Sb, relaxed; space group = No. 225; E_tot = -27.17 eV per formula unit; relative energy among the computed polymorphs = 427 meV/atom
1.0
0.000 3.774 3.774
3.774 0.000 3.774
3.774 3.774 0.000
Pm Pa Sb
1 2 1
direct
0.000 0.000 0.000 Pm
0.250 0.250 0.250 Pa
0.750 0.750 0.750 Pa
0.500 0.500 0.500 Sb

=====

[21]
PBE Pm2ScPaSb4, relaxed; space group = No. 10; E_tot = -49.24 eV per formula unit
1.0
7.545 0.000 0.000
0.000 4.390 0.000
-2.540 0.000 7.188
Pm Sc Pa Sb
2 1 1 4
direct
0.000 0.000 0.000 Pm
0.500 0.500 0.000 Pm
0.000 0.500 0.500 Sc
0.500 0.000 0.500 Pa
0.239 0.000 0.732 Sb
0.247 0.500 0.262 Sb
0.753 0.500 0.738 Sb
0.761 0.000 0.268 Sb

=====

[22]
PBE Pm2ScPaSb5, relaxed; space group = No. 123; E_tot = -47.17 eV per formula unit
1.0
5.545 0.000 0.000
0.000 5.545 0.000
0.000 0.000 11.191
Pm Sc Pa Sb
2 1 1 5
direct
0.000 0.000 0.212 Pm
0.000 0.000 0.788 Pm
0.500 0.500 0.500 Sc
0.500 0.500 0.000 Pa
0.000 0.000 0.500 Sb
0.000 0.500 0.000 Sb
0.500 0.000 0.000 Sb
0.500 0.500 0.261 Sb
0.500 0.500 0.739 Sb

=====

[23]
PBE PmSc2PaSb4, relaxed; space group = No. 10; E_tot = -50.35 eV per formula unit
1.0
7.386 0.000 0.000
0.000 4.307 0.000
-2.501 0.000 7.054
Pm Sc Pa Sb
1 2 1 4
direct
0.000 0.000 0.000 Pm
0.500 0.000 0.500 Sc
0.500 0.500 0.000 Sc
0.000 0.500 0.500 Pa
0.268 0.000 0.753 Sb
0.269 0.500 0.261 Sb
0.731 0.500 0.739 Sb
0.732 0.000 0.247 Sb